Record 1
A plane-wave DFT calculation with PBE was carried out for a relaxed structure of SmTm8Th2.

Cell: 5.902 8.968 9.157 Å, 60.68 74.01 55.78°
Fractional coordinates of all 11 atoms:
Tm: 0.500 0.792 0.417
Tm: 0.295 0.431 0.000
Tm: 0.819 0.100 0.239
Tm: 0.819 0.338 0.761
Tm: 0.181 0.900 0.761
Tm: 0.705 0.569 0.000
Tm: 0.181 0.662 0.239
Tm: 0.500 0.208 0.583
Th: 0.000 0.693 0.614
Th: 0.000 0.307 0.386
Sm: 0.500 0.000 0.000

**ΔH_f (0 K)**: 0.202 eV/atom
**Total DFT energy (no corrections)**: -4.828 eV per atom
**Magnetic moment**: 0.00 μB/f.u.
**Space-group type**: No. 12
**Calculated density**: 9.3 Mg/m³
**N(E_F)**: 14.5 states/eV per cell
**Excess energy over the best structure of this formula in the dataset**: 172 meV per atom

Record 2
A plane-wave DFT calculation with PBE was carried out for a relaxed structure of Sm3Tm4Th2.

Cell: 5.755 6.366 9.411 Å, 116.28 107.81 90.00°
Fractional coordinates of all 9 atoms:
Tm: 0.230 0.328 0.460
Tm: 0.561 0.382 0.122
Tm: 0.770 0.672 0.540
Tm: 0.439 0.618 0.878
Sm: 0.129 0.691 0.258
Sm: 0.000 0.000 0.000
Sm: 0.871 0.309 0.742
Th: 0.645 0.009 0.289
Th: 0.355 0.991 0.711

**ΔH_f (0 K)**: 0.125 eV/atom
**Total DFT energy (no corrections)**: -5.084 eV per atom
**Magnetic moment**: 0.00 μB/f.u.
**Space-group type**: No. 12
**Calculated density**: 9.1 Mg/m³
**N(E_F)**: 13.0 states/eV per cell
**Excess energy over the best structure of this formula in the dataset**: 118 meV per atom

Record 3
A plane-wave DFT calculation with PBE was carried out for a relaxed structure of Sm15Tm4Th.

Cell: 5.094 5.094 25.418 Å, 90.00 90.00 90.00°
Fractional coordinates of all 20 atoms:
Sm: 0.500 0.000 0.901
Sm: 0.000 0.500 0.700
Sm: 0.500 0.500 0.798
Sm: 0.500 0.500 0.600
Sm: 0.500 0.000 0.300
Sm: 0.000 0.500 0.099
Sm: 0.000 0.500 0.901
Sm: 0.500 0.000 0.099
Sm: 0.500 0.500 0.400
Sm: 0.000 0.500 0.500
Sm: 0.500 0.500 0.202
Sm: 0.500 0.000 0.500
Sm: 0.500 0.500 0.000
Sm: 0.500 0.000 0.700
Sm: 0.000 0.500 0.300
Tm: 0.000 0.000 0.799
Tm: 0.000 0.000 0.400
Tm: 0.000 0.000 0.600
Tm: 0.000 0.000 0.201
Th: 0.000 0.000 0.000

**ΔH_f (0 K)**: 0.025 eV/atom
**Total DFT energy (no corrections)**: -4.779 eV per atom
**Magnetic moment**: 0.00 μB/f.u.
**Space-group type**: No. 123
**Calculated density**: 8.0 Mg/m³
**N(E_F)**: 27.8 states/eV per cell

Record 4
A plane-wave DFT calculation with PBE was carried out for a relaxed structure of Sm2Tm8Th3.

Cell: 6.573 9.201 8.673 Å, 122.03 81.64 90.00°
Fractional coordinates of all 13 atoms:
Sm: 0.800 0.782 0.563
Sm: 0.200 0.218 0.437
Tm: 0.710 0.197 0.394
Tm: 0.561 0.791 0.225
Tm: 0.439 0.209 0.775
Tm: 0.135 0.579 0.159
Tm: 0.561 0.433 0.225
Tm: 0.439 0.567 0.775
Tm: 0.290 0.803 0.606
Tm: 0.865 0.421 0.841
Th: 0.000 0.830 0.000
Th: 0.500 0.000 0.000
Th: 0.000 0.170 0.000

**ΔH_f (0 K)**: 0.270 eV/atom
**Total DFT energy (no corrections)**: -4.920 eV per atom
**Magnetic moment**: 0.00 μB/f.u.
**Space-group type**: No. 12
**Calculated density**: 8.9 Mg/m³
**N(E_F)**: 21.4 states/eV per cell
**Excess energy over the best structure of this formula in the dataset**: 106 meV per atom

Record 5
A plane-wave DFT calculation with PBE was carried out for a relaxed structure of SmTmTh2.

Cell: 10.150 10.150 3.510 Å, 100.30 100.30 65.58°
Fractional coordinates of all 8 atoms:
Sm: 0.500 0.000 0.000
Sm: 0.000 0.500 0.500
Tm: 0.358 0.642 0.750
Tm: 0.642 0.358 0.250
Th: 0.031 0.774 0.158
Th: 0.969 0.226 0.842
Th: 0.226 0.969 0.342
Th: 0.774 0.031 0.658

**ΔH_f (0 K)**: 0.658 eV/atom
**Total DFT energy (no corrections)**: -5.350 eV per atom
**Magnetic moment**: 0.00 μB/f.u.
**Space-group type**: No. 15
**Calculated density**: 8.1 Mg/m³
**N(E_F)**: 14.0 states/eV per cell
**Excess energy over the best structure of this formula in the dataset**: 627 meV per atom

Record 6
A plane-wave DFT calculation with PBE was carried out for a relaxed structure of Sm3Tm4Th.

Cell: 6.238 7.201 11.424 Å, 90.00 90.00 90.00°
Fractional coordinates of all 16 atoms:
Tm: 0.148 0.878 0.000
Tm: 0.986 0.124 0.248
Tm: 0.648 0.126 0.000
Tm: 0.648 0.122 0.500
Tm: 0.148 0.874 0.500
Tm: 0.486 0.876 0.748
Tm: 0.986 0.124 0.752
Tm: 0.486 0.876 0.252
Sm: 0.977 0.624 0.751
Sm: 0.477 0.376 0.251
Sm: 0.645 0.623 0.000
Sm: 0.477 0.376 0.749
Sm: 0.977 0.624 0.249
Sm: 0.145 0.377 0.500
Th: 0.650 0.626 0.500
Th: 0.150 0.374 0.000

**ΔH_f (0 K)**: 0.038 eV/atom
**Total DFT energy (no corrections)**: -4.895 eV per atom
**Magnetic moment**: 0.00 μB/f.u.
**Space-group type**: No. 31
**Calculated density**: 8.8 Mg/m³
**N(E_F)**: 29.4 states/eV per cell
**Excess energy over the best structure of this formula in the dataset**: 13 meV per atom

Record 7
A plane-wave DFT calculation with PBE was carried out for a relaxed structure of Sm4TmTh5.

Cell: 3.457 11.285 9.015 Å, 72.54 101.05 90.00°
Fractional coordinates of all 10 atoms:
Sm: 0.697 0.907 0.394
Sm: 0.092 0.196 0.185
Sm: 0.908 0.804 0.815
Sm: 0.303 0.093 0.606
Th: 0.803 0.591 0.606
Th: 0.500 0.500 0.000
Th: 0.892 0.293 0.784
Th: 0.197 0.409 0.394
Th: 0.108 0.707 0.216
Tm: 0.500 0.000 0.000

**ΔH_f (0 K)**: 0.134 eV/atom
**Total DFT energy (no corrections)**: -5.911 eV per atom
**Magnetic moment**: 0.00 μB/f.u.
**Space-group type**: No. 12
**Calculated density**: 9.8 Mg/m³
**N(E_F)**: 15.4 states/eV per cell

Record 8
A plane-wave DFT calculation with PBE was carried out for a relaxed structure of SmTm3Th2.

Cell: 3.441 10.107 11.798 Å, 108.04 98.38 90.00°
Fractional coordinates of all 12 atoms:
Sm: 0.314 0.963 0.627
Sm: 0.686 0.037 0.373
Th: 0.930 0.862 0.859
Th: 0.691 0.376 0.381
Th: 0.309 0.624 0.619
Th: 0.070 0.138 0.141
Tm: 0.933 0.231 0.866
Tm: 0.694 0.710 0.387
Tm: 0.442 0.556 0.884
Tm: 0.558 0.444 0.116
Tm: 0.306 0.290 0.613
Tm: 0.067 0.769 0.134

**ΔH_f (0 K)**: 0.155 eV/atom
**Total DFT energy (no corrections)**: -5.340 eV per atom
**Magnetic moment**: 0.00 μB/f.u.
**Space-group type**: No. 12
**Calculated density**: 9.7 Mg/m³
**N(E_F)**: 18.4 states/eV per cell
**Excess energy over the best structure of this formula in the dataset**: 0 meV per atom